P | The following is a GGA-PBE calculation of Tb2CeCu after structural relaxation, from Alexandria.

## Properties
**Total magnetic moment**: 0.51 Bohr magnetons per cell
**Space-group type**: R-3m, No. 166

Lattice parameters (Å, degrees): 3.350 3.350 11.104 81.33 81.33 60.00
Element x y z (fractional)
Tb 0.101 0.101 0.698
Tb 0.899 0.899 0.302
Ce 0.000 0.000 0.000
Cu 0.500 0.500 0.500

Q | The following is a GGA-PBE calculation of Tb2CeCu after structural relaxation, from Alexandria.

## Properties
**Total magnetic moment**: 0.91 Bohr magnetons per cell
**Space-group type**: P4/mmm, No. 123

Lattice parameters (Å, degrees): 3.498 3.498 8.463 90.00 90.00 90.00
Element x y z (fractional)
Tb 0.000 0.000 0.798
Tb 0.000 0.000 0.202
Ce 0.500 0.500 0.500
Cu 0.500 0.500 0.000

Most stable: Q (next structure +281 meV/atom)

P | The following is a GGA-PBE calculation of Ce2ThCu after structural relaxation, from Alexandria.

## Properties
**Total magnetic moment**: 0.00 Bohr magnetons per cell
**Space-group type**: Fm-3m, No. 225

Lattice parameters (Å, degrees): 5.217 5.217 5.214 59.98 59.98 60.00
Element x y z (fractional)
Th 0.500 0.500 0.500
Cu 0.000 0.000 0.000
Ce 0.750 0.750 0.750
Ce 0.250 0.250 0.250

Q | The following is a GGA-PBE calculation of Ce2ThCu after structural relaxation, from Alexandria.

## Properties
**Total magnetic moment**: 0.00 Bohr magnetons per cell
**Space-group type**: P4/mmm, No. 123

Lattice parameters (Å, degrees): 3.516 3.516 8.287 90.00 90.00 90.00
Element x y z (fractional)
Ce 0.000 0.000 0.787
Ce 0.000 0.000 0.213
Th 0.500 0.500 0.500
Cu 0.500 0.500 0.000

Most stable: Q (next structure +295 meV/atom)

P | The following is a GGA-PBE calculation of CeThCu4 after structural relaxation, from Alexandria.

## Properties
**Total magnetic moment**: 0.00 Bohr magnetons per cell
**Space-group type**: F-43m, No. 216

Lattice parameters (Å, degrees): 5.311 5.311 5.311 60.00 60.00 60.00
Element x y z (fractional)
Cu 0.625 0.625 0.625
Cu 0.625 0.625 0.125
Cu 0.125 0.625 0.625
Cu 0.625 0.125 0.625
Ce 0.000 0.000 0.000
Th 0.250 0.250 0.250

Q | The following is a GGA-PBE calculation of CeThCu4 after structural relaxation, from Alexandria.

## Properties
**Total magnetic moment**: 1.01 Bohr magnetons per cell
**Space-group type**: I-4m2, No. 119

Lattice parameters (Å, degrees): 3.915 3.915 8.275 103.68 103.68 90.00
Element x y z (fractional)
Ce 0.000 0.000 0.000
Th 0.250 0.750 0.500
Cu 0.670 0.170 0.341
Cu 0.579 0.579 0.159
Cu 0.421 0.421 0.841
Cu 0.830 0.330 0.659

Most stable: Q (next structure +55 meV/atom)

P | The following is a GGA-PBE calculation of CeThCu2 after structural relaxation, from Alexandria.

## Properties
**Total magnetic moment**: 0.99 Bohr magnetons per cell
**Space-group type**: R-3m, No. 166

Lattice parameters (Å, degrees): 3.724 3.724 8.396 77.19 77.19 60.00
Element x y z (fractional)
Cu 0.750 0.750 0.749
Cu 0.250 0.250 0.251
Ce 0.000 0.000 0.000
Th 0.500 0.500 0.500

Q | The following is a GGA-PBE calculation of CeThCu2 after structural relaxation, from Alexandria.

## Properties
**Total magnetic moment**: 1.28 Bohr magnetons per cell
**Space-group type**: Fm-3m, No. 225

Lattice parameters (Å, degrees): 5.016 5.016 5.016 60.00 60.00 60.00
Element x y z (fractional)
Th 0.000 0.000 0.000
Cu 0.250 0.250 0.250
Cu 0.750 0.750 0.750
Ce 0.500 0.500 0.500

Most stable: Q (next structure +190 meV/atom)

P | The following is a GGA-PBE calculation of CeThCu2 after structural relaxation, from Alexandria.

## Properties
**Total magnetic moment**: 0.00 Bohr magnetons per cell
**Space-group type**: P2_1/m, No. 11

Lattice parameters (Å, degrees): 4.249 3.771 10.958 99.90 90.00 90.00
Element x y z (fractional)
Cu 0.750 0.653 0.804
Cu 0.250 0.923 0.347
Cu 0.250 0.347 0.196
Cu 0.750 0.077 0.653
Ce 0.250 0.545 0.589
Ce 0.750 0.455 0.411
Th 0.250 0.197 0.894
Th 0.750 0.803 0.106

Q | The following is a GGA-PBE calculation of CeThCu2 after structural relaxation, from Alexandria.

## Properties
**Total magnetic moment**: 1.50 Bohr magnetons per cell
**Space-group type**: P4/mmm, No. 123

Lattice parameters (Å, degrees): 3.497 5.059 5.059 90.00 90.00 90.00
Element x y z (fractional)
Cu 0.000 0.500 0.000
Cu 0.000 0.000 0.500
Th 0.500 0.500 0.500
Ce 0.500 0.000 0.000

Most stable: P (next structure +49 meV/atom)

P | The following is a GGA-PBE calculation of CeTiCu after structural relaxation, from Alexandria.

## Properties
**Total magnetic moment**: 0.00 Bohr magnetons per cell
**Space-group type**: P-6m2, No. 187

Lattice parameters (Å, degrees): 3.260 4.601 4.601 120.00 90.00 90.00
Element x y z (fractional)
Ce 0.667 0.667 0.333
Cu 0.167 0.333 0.667
Ti 0.166 0.000 0.000

Q | The following is a GGA-PBE calculation of CeTiCu after structural relaxation, from Alexandria.

## Properties
**Total magnetic moment**: 0.00 Bohr magnetons per cell
**Space-group type**: P4/nmm, No. 129

Lattice parameters (Å, degrees): 4.286 3.031 12.067 90.00 90.00 135.05
Element x y z (fractional)
Ti 0.750 0.500 0.926
Ti 0.250 0.500 0.074
Cu 0.750 0.500 0.204
Cu 0.250 0.500 0.796
Ce 0.750 0.500 0.612
Ce 0.250 0.500 0.388

Most stable: Q (next structure +239 meV/atom)